Model one:
First-principles (PBE-GGA) data for an optimized crystal structure of YRe2W, as listed in Alexandria.

* M_tot: 0.000 μB per formula unit

a b c (Å): 3.2200 4.7141 4.5744
angles (deg): 90.00 90.00 90.00
Last column: nearest neighbours and their distance in Å.
Sites, in units of the cell vectors:
1 Re 0.0000 0.0000 0.0000  4 W 2.80, 4 Re 2.85
2 Re 0.5000 0.5000 0.0000  4 Y 2.80, 4 Re 2.85
3 Y 0.0000 0.5000 0.5000  4 Re 2.80, 4 W 2.85
4 W 0.5000 0.0000 0.5000  4 Re 2.80, 4 Y 2.85

=====

Model two:
First-principles (PBE-GGA) data for an optimized crystal structure of YRe2W, as listed in Alexandria.

* M_tot: 0.000 μB per formula unit

a b c (Å): 9.2619 9.2619 9.2619
angles (deg): 18.68 18.68 18.68
Last column: nearest neighbours and their distance in Å.
Sites, in units of the cell vectors:
1 W 0.2500 0.2500 0.2500  6 Re 2.69, 6 W 3.01
2 Re 0.5083 0.5083 0.5083  3 W 2.69, 6 Re 3.01
3 Re 0.9917 0.9917 0.9917  3 W 2.69, 6 Re 3.01
4 Y 0.7500 0.7500 0.7500  6 Y 3.01, 6 Re 3.04

=====

Model three:
First-principles (PBE-GGA) data for an optimized crystal structure of YRe2W, as listed in Alexandria.

* M_tot: 0.000 μB per formula unit

a b c (Å): 4.2711 2.9225 6.0081
angles (deg): 77.45 90.00 90.00
Last column: nearest neighbours and their distance in Å.
Sites, in units of the cell vectors:
1 Re 0.0000 0.4584 0.4531  2 W 2.60, 1 Re 2.66
2 Re 0.0000 0.0416 0.0469  2 W 2.60, 1 Re 2.66
3 Y 0.5000 0.7500 0.7500  2 Y 2.92, 8 Re 3.02-3.23, 2 W 3.04
4 W 0.5000 0.2500 0.2500  4 Re 2.60

=====

Model four:
First-principles (PBE-GGA) data for an optimized crystal structure of YRe2W, as listed in Alexandria.

* M_tot: 0.000 μB per formula unit

a b c (Å): 4.6378 4.6378 3.2397
angles (deg): 90.00 90.00 90.00
Last column: nearest neighbours and their distance in Å.
Sites, in units of the cell vectors:
1 Re 0.0000 0.0000 0.0000  4 W 2.83, 4 Y 2.83
2 Re 0.5000 0.5000 0.0000  4 W 2.83, 4 Y 2.83
3 Y 0.0000 0.5000 0.5000  8 Re 2.83
4 W 0.5000 0.0000 0.5000  8 Re 2.83

=====

On energetic grounds, model four is preferred over the next structure by 3.2 kJ/mol of atoms.